# Sr2Bi4Pd3Au | the Alexandria database | PBE | relaxed
# ΔE_f   -0.554 eV/atom
# Fermi-level density of states   0.37 states/eV per atom
data_Sr2Bi4Pd3Au
_symmetry_space_group_name_H-M 'P 1'
_symmetry_Int_Tables_number 1
_symmetry_space_group_name_Hall 'P 1'
_cell_length_a 4.896
_cell_length_b 4.896
_cell_length_c 11.220
_cell_angle_alpha 90.00
_cell_angle_beta 90.00
_cell_angle_gamma 90.00
loop_
_atom_site_label
_atom_site_type_symbol
_atom_site_fract_x
_atom_site_fract_y
_atom_site_fract_z
_atom_site_occupancy
Bi1 Bi 0.500 0.000 0.632 1
Bi2 Bi 0.500 0.500 0.000 1
Bi3 Bi 0.000 0.000 0.000 1
Bi4 Bi 0.000 0.500 0.368 1
Pd1 Pd 0.000 0.500 0.127 1
Pd2 Pd 0.000 0.000 0.500 1
Pd3 Pd 0.500 0.000 0.873 1
Sr1 Sr 0.500 0.000 0.265 1
Sr2 Sr 0.000 0.500 0.735 1
Au1 Au 0.500 0.500 0.500 1